Record 1
! ZrCl3, optimized geometry, DFT PBE-GGA; values from VASP
! Density   3.0 g/cm³
! Crystal system   tetragonal
! E   -5.00 eV per atom
&SYSTEM
  ibrav = 0, nat = 8, ntyp = 2
/
ATOMIC_SPECIES
Cl 35.45 Cl.upf
Zr 91.22 Zr.upf
ATOMIC_POSITIONS angstrom
Cl -7.973 3.533 -5.822
Cl -3.027 8.040 -1.543
Cl -3.799 4.107 -3.467
Cl -6.053 6.224 -2.850
Cl -5.278 11.048 -1.762
Cl -6.511 9.354 -4.888
Zr 0.000 0.000 0.000
Zr -5.217 8.666 -2.761
CELL_PARAMETERS angstrom
-1.043 9.241 -0.406
-6.555 -1.027 -6.529
-5.592 3.985 -1.648

=====

Record 2
! V3CrNi7, optimized geometry, DFT PBE-GGA; values from VASP
! Density   7.4 g/cm³
! Crystal system   monoclinic
! E   -6.82 eV per atom
! Formation energy   0.23 eV per atom
&SYSTEM
  ibrav = 0, nat = 11, ntyp = 3
/
ATOMIC_SPECIES
V 50.94 V.upf
Ni 58.69 Ni.upf
Cr 52.00 Cr.upf
ATOMIC_POSITIONS angstrom
V -2.054 -3.788 -2.396
V 1.867 -4.559 -0.188
V -0.916 0.693 1.869
Ni -0.450 -1.171 0.390
Ni -1.570 -5.790 0.764
Ni -2.630 -1.906 -0.716
Ni 1.291 -2.678 1.492
Ni -0.094 -4.173 -1.292
Ni -3.311 -4.284 -0.338
Ni 0.610 -5.056 1.870
Cr -1.010 -3.481 0.577
CELL_PARAMETERS angstrom
-1.833 1.385 3.739
-3.794 -3.445 -3.376
3.606 -4.902 0.791

=====

Record 3
! LiTa2In, optimized geometry, DFT PBE-GGA; values from VASP
! Density   11.1 g/cm³
! Crystal system   tetragonal
! E   -6.74 eV per atom
! Formation energy   0.35 eV per atom
&SYSTEM
  ibrav = 0, nat = 4, ntyp = 3
/
ATOMIC_SPECIES
Ta 180.95 Ta.upf
In 114.82 In.upf
Li 6.94 Li.upf
ATOMIC_POSITIONS angstrom
Ta 0.000 0.000 0.000
Ta 0.973 2.407 1.451
In 3.569 2.410 0.000
Li 2.596 0.003 1.451
CELL_PARAMETERS angstrom
5.193 0.006 0.000
1.945 4.814 0.000
-3.569 -2.410 2.901

=====

Record 4
! CeDyGa6, optimized geometry, DFT PBE-GGA; values from VASP
! Density   7.5 g/cm³
! Crystal system   hexagonal
! E   -4.13 eV per atom
! Formation energy   -0.54 eV per atom
&SYSTEM
  ibrav = 0, nat = 8, ntyp = 3
/
ATOMIC_SPECIES
Dy 162.50 Dy.upf
Ga 69.72 Ga.upf
Ce 140.12 Ce.upf
ATOMIC_POSITIONS angstrom
Dy -2.129 0.689 3.328
Ga -2.697 -2.262 3.940
Ga -4.956 1.103 1.964
Ga -2.779 2.039 0.539
Ga -5.330 2.312 -0.495
Ga -3.169 -0.723 0.812
Ga 0.076 -1.069 2.125
Ce 0.294 -2.479 4.949
CELL_PARAMETERS angstrom
-0.401 4.082 2.069
-5.823 0.623 -2.358
0.851 -2.761 5.614

=====

Record 5
! CaNiRh, optimized geometry, DFT PBE-GGA; values from VASP
! Density   5.6 g/cm³
! Crystal system   hexagonal
! E   -5.16 eV per atom
! Formation energy   -0.11 eV per atom
&SYSTEM
  ibrav = 0, nat = 3, ntyp = 3
/
ATOMIC_SPECIES
Rh 102.91 Rh.upf
Ni 58.69 Ni.upf
Ca 40.08 Ca.upf
ATOMIC_POSITIONS angstrom
Rh 1.315 -1.787 2.226
Ni -0.768 -0.936 2.900
Ca 0.000 0.000 0.000
CELL_PARAMETERS angstrom
-3.651 -0.561 1.706
2.598 -3.115 -0.316
1.599 0.954 3.736

=====

Record 6
! IrRhO2F, optimized geometry, DFT PBE-GGA; values from VASP
! Density   9.0 g/cm³
! Crystal system   tetragonal
! E   -5.12 eV per atom
&SYSTEM
  ibrav = 0, nat = 5, ntyp = 4
/
ATOMIC_SPECIES
F 19.00 F.upf
Rh 102.91 Rh.upf
O 16.00 O.upf
Ir 192.22 Ir.upf
ATOMIC_POSITIONS angstrom
F 0.000 0.000 2.056
Rh 0.000 0.000 0.000
O 1.971 0.000 0.000
O 0.000 1.971 0.000
Ir 1.971 1.971 2.056
CELL_PARAMETERS angstrom
3.941 0.000 0.000
0.000 3.941 0.000
0.000 0.000 4.111